1.
Density functional theory data (PBE) for a relaxed Pu2MnGe2 crystal.

```
data_Pu2MnGe2
_symmetry_space_group_name_H-M 'I b a m'
_symmetry_Int_Tables_number 72
_symmetry_space_group_name_Hall '-I 2 2c'
_cell_length_a 5.795
_cell_length_b 12.230
_cell_length_c 5.590
_cell_angle_alpha 90.00
_cell_angle_beta 90.00
_cell_angle_gamma 90.00
loop_
_atom_site_label
_atom_site_type_symbol
_atom_site_fract_x
_atom_site_fract_y
_atom_site_fract_z
Pu1 Pu 0.206 0.171 0.000
Mn1 Mn 0.000 0.000 0.250
Ge1 Ge 0.175 0.426 0.000
```

Computed properties:
crystal system = orthorhombic
E above lowest polymorph = 0.012 eV per atom
density = 11.5 g/cm3
energy relative to the elements = -0.280 eV per atom

2.
Density functional theory data (PBE) for a relaxed Mn2FeIrC crystal.

```
data_Mn2FeIrC
_symmetry_space_group_name_H-M 'P 4/m m m'
_symmetry_Int_Tables_number 123
_symmetry_space_group_name_Hall '-P 4 2'
_cell_length_a 3.847
_cell_length_b 3.847
_cell_length_c 3.771
_cell_angle_alpha 90.00
_cell_angle_beta 90.00
_cell_angle_gamma 90.00
loop_
_atom_site_label
_atom_site_type_symbol
_atom_site_fract_x
_atom_site_fract_y
_atom_site_fract_z
Mn1 Mn 0.000 0.500 0.000
Fe1 Fe 0.000 0.000 0.500
Ir1 Ir 0.500 0.500 0.500
C1 C 0.000 0.000 0.000
```

Computed properties:
crystal system = tetragonal
density = 11.0 g/cm3
energy relative to the elements = 0.078 eV per atom

3.
Density functional theory data (PBE) for a relaxed GePAu2Se crystal.

```
data_GePAu2Se
_symmetry_space_group_name_H-M 'P 4/m m m'
_symmetry_Int_Tables_number 123
_symmetry_space_group_name_Hall '-P 4 2'
_cell_length_a 4.640
_cell_length_b 4.640
_cell_length_c 5.360
_cell_angle_alpha 90.00
_cell_angle_beta 90.00
_cell_angle_gamma 90.00
loop_
_atom_site_label
_atom_site_type_symbol
_atom_site_fract_x
_atom_site_fract_y
_atom_site_fract_z
Ge1 Ge 0.000 0.000 0.000
P1 P 0.500 0.500 0.500
Au1 Au 0.000 0.500 0.500
Se1 Se 0.500 0.500 0.000
```

Computed properties:
crystal system = tetragonal
density = 8.3 g/cm3
raw formation energy = 0.39 eV/atom

4.
Density functional theory data (PBE) for a relaxed ScSb2SI crystal.

```
data_ScSb2SI
_symmetry_space_group_name_H-M 'P 4/m m m'
_symmetry_Int_Tables_number 123
_symmetry_space_group_name_Hall '-P 4 2'
_cell_length_a 5.585
_cell_length_b 5.585
_cell_length_c 5.340
_cell_angle_alpha 90.00
_cell_angle_beta 90.00
_cell_angle_gamma 90.00
loop_
_atom_site_label
_atom_site_type_symbol
_atom_site_fract_x
_atom_site_fract_y
_atom_site_fract_z
Sc1 Sc 0.000 0.000 0.000
Sb1 Sb 0.000 0.500 0.000
S1 S 0.500 0.500 0.500
I1 I 0.000 0.000 0.500
```

Computed properties:
crystal system = tetragonal
E above lowest polymorph = 0.022 eV per atom
density = 4.5 g/cm3
raw formation energy = 0.33 eV/atom